A plane-wave DFT calculation with PBE was carried out for crystalline TbScInAg at its relaxed geometry.

Lattice parameters (Å, degrees): 7.2442 7.2442 7.2442 90.00 90.00 90.00
With the nearest neighbours (Å) after each atom.
Space group F-43m (No. 216)
Unique sites:
Tb: 0.0000 0.0000 0.0000 (multiplicity 4)  4 In 3.14, 4 Ag 3.14
Sc: 0.0000 0.0000 0.5000 (multiplicity 4)  4 In 3.14, 4 Ag 3.14
In: 0.2500 0.2500 0.7500 (multiplicity 4)  4 Tb 3.14, 4 Sc 3.14
Ag: 0.2500 0.2500 0.2500 (multiplicity 4)  4 Tb 3.14, 4 Sc 3.14

Computed properties:
DFT formation energy, kcal/mol of atoms: -8.6
ρ, g cm⁻³: 7.5


A plane-wave DFT calculation with PBE was carried out for crystalline Sc2InAgTe4 at its relaxed geometry.

Lattice parameters (Å, degrees): 4.2161 14.4102 15.3330 90.00 90.00 90.00
With the nearest neighbours (Å) after each atom.
Space group Cmcm (No. 63)
Unique sites:
Sc: 0.0000 0.1243 0.0745 (multiplicity 8)  6 Te 2.96-3.10
In: 0.0000 0.3599 0.2500 (multiplicity 4)  6 Te 3.31-3.41, 2 Ag 3.56
Ag: 0.0000 0.3394 0.7500 (multiplicity 4)  4 Te 2.76-2.77
Te: 0.0000 0.0366 0.2500 (multiplicity 4)  2 Ag 2.76, 2 Sc 2.97
Te: 0.0000 0.2341 0.5992 (multiplicity 8)  1 Ag 2.77, 2 Sc 2.96
Te: 0.0000 0.5000 0.0000 (multiplicity 4)  4 Sc 2.99

Computed properties:
Uncorrected energy, eV for the cell shown: -147.8
ρ, g cm⁻³: 5.9


A plane-wave DFT calculation with PBE was carried out for crystalline ScTi2InAg at its relaxed geometry.

Lattice parameters (Å, degrees): 4.6274 4.6274 5.3657 90.00 90.00 90.00
With the nearest neighbours (Å) after each atom.
Space group P4/mmm (No. 123)
Unique sites:
Sc: 0.0000 0.0000 0.0000 (multiplicity 1)  4 Ti 2.31
Ti: 0.0000 0.5000 0.0000 (multiplicity 2)  2 Sc 2.31
In: 0.0000 0.0000 0.5000 (multiplicity 1)  2 Sc 2.68
Ag: 0.5000 0.5000 0.5000 (multiplicity 1)  4 In 3.27, 8 Ti 3.54

Computed properties:
DFT formation energy, kcal/mol of atoms: 23.3
ρ, g cm⁻³: 5.3


A plane-wave DFT calculation with PBE was carried out for crystalline ScTiInAg at its relaxed geometry.

Lattice parameters (Å, degrees): 6.8433 6.8433 6.8433 90.00 90.00 90.00
With the nearest neighbours (Å) after each atom.
Space group F-43m (No. 216)
Unique sites:
Sc: 0.0000 0.0000 0.0000 (multiplicity 4)  4 In 2.96, 4 Ag 2.96
Ti: 0.0000 0.0000 0.5000 (multiplicity 4)  4 In 2.96, 4 Ag 2.96
In: 0.2500 0.2500 0.7500 (multiplicity 4)  4 Sc 2.96, 4 Ti 2.96
Ag: 0.2500 0.2500 0.2500 (multiplicity 4)  4 Sc 2.96, 4 Ti 2.96

Computed properties:
DFT formation energy, kcal/mol of atoms: -3.7
ρ, g cm⁻³: 6.5


A plane-wave DFT calculation with PBE was carried out for crystalline Sc4TlIn2Ag at its relaxed geometry.

Lattice parameters (Å, degrees): 5.0047 5.0047 24.6197 90.00 90.00 120.00
With the nearest neighbours (Å) after each atom.
Space group R-3m (No. 166, hexagonal axes)
Unique sites:
Sc: 0.0000 0.0000 0.1230 (multiplicity 6)  1 Ag 3.03, 4 In 3.07-3.20, 3 Tl 3.08
Sc: 0.0000 0.0000 0.3736 (multiplicity 6)  4 In 2.97-3.05, 3 Ag 3.05, 1 Tl 3.11
Tl: 0.0000 0.0000 0.5000 (multiplicity 3)  8 Sc 3.08-3.11
In: 0.0000 0.0000 0.2528 (multiplicity 6)  8 Sc 2.97-3.20
Ag: 0.0000 0.0000 0.0000 (multiplicity 3)  8 Sc 3.03-3.05

Computed properties:
DFT formation energy, kcal/mol of atoms: -8.0
ρ, g cm⁻³: 6.7


A plane-wave DFT calculation with PBE was carried out for crystalline Sc4Tl2InAg at its relaxed geometry.

Lattice parameters (Å, degrees): 5.0140 5.0140 24.6758 90.00 90.00 120.00
With the nearest neighbours (Å) after each atom.
Space group R-3m (No. 166, hexagonal axes)
Unique sites:
Sc: 0.0000 0.0000 0.1234 (multiplicity 6)  1 Ag 3.05, 4 Tl 3.08-3.20, 3 In 3.09
Sc: 0.0000 0.0000 0.3741 (multiplicity 6)  4 Tl 2.98-3.05, 3 Ag 3.06, 1 In 3.11
Tl: 0.0000 0.0000 0.2531 (multiplicity 6)  8 Sc 2.98-3.20
In: 0.0000 0.0000 0.5000 (multiplicity 3)  8 Sc 3.09-3.11
Ag: 0.0000 0.0000 0.0000 (multiplicity 3)  8 Sc 3.05-3.06

Computed properties:
DFT formation energy, kcal/mol of atoms: -7.0
ρ, g cm⁻³: 7.5


A plane-wave DFT calculation with PBE was carried out for crystalline ScInAgW2 at its relaxed geometry.

Lattice parameters (Å, degrees): 4.9535 4.9535 5.1030 90.00 90.00 90.00
With the nearest neighbours (Å) after each atom.
Space group P4/mmm (No. 123)
Unique sites:
Sc: 0.0000 0.0000 0.0000 (multiplicity 1)  2 In 2.55
In: 0.0000 0.0000 0.5000 (multiplicity 1)  4 W 2.48, 2 Sc 2.55
Ag: 0.5000 0.5000 0.0000 (multiplicity 1)  4 Sc 3.50, 8 W 3.56
W: 0.0000 0.5000 0.5000 (multiplicity 2)  2 In 2.48

Computed properties:
DFT formation energy, kcal/mol of atoms: 50.1
ρ, g cm⁻³: 8.4


A plane-wave DFT calculation with PBE was carried out for crystalline YSc2In2Ag2 at its relaxed geometry.

Lattice parameters (Å, degrees): 4.7458 4.7458 24.9680 90.00 90.00 120.00
With the nearest neighbours (Å) after each atom.
Space group R-3m (No. 166, hexagonal axes)
Unique sites:
Y: 0.0000 0.0000 0.0000 (multiplicity 3)  6 In 3.29, 2 Sc 3.38
Sc: 0.0000 0.0000 0.1352 (multiplicity 6)  3 Ag 2.85, 4 In 3.13-3.15, 3 Sc 3.16
In: 0.0000 0.0000 0.2604 (multiplicity 6)  3 Ag 2.84, 4 Sc 3.13-3.15
Ag: 0.0000 0.0000 0.4366 (multiplicity 6)  3 In 2.84, 3 Sc 2.85, 1 Ag 3.16

Computed properties:
DFT formation energy, kcal/mol of atoms: -6.2
ρ, g cm⁻³: 6.4